Entry 1:
HfOs3Pt | PBE | relaxed

a b c (Å): 4.7116 4.7116 4.7116
angles (deg): 90.00 90.00 90.00
Closest atoms and distances in Å follow each position.
Fractional positions:
Hf: 0.0000 0.0000 0.0000  12 Os 3.33
Os: 0.0000 0.5000 0.5000  2 Pt 2.36
Os: 0.5000 0.0000 0.5000  2 Pt 2.36
Os: 0.5000 0.5000 0.0000  2 Pt 2.36
Pt: 0.5000 0.5000 0.5000  6 Os 2.36

Total magnetization, Bohr magnetons per cell: 0.0
Raw total energy, eV per atom: -7.906
Energy of formation, eV/atom: 2.03

---

Entry 2:
Hf6OsPt | PBE | relaxed

a b c (Å): 4.6457 4.6457 14.7725
angles (deg): 90.00 90.00 90.00
Closest atoms and distances in Å follow each position.
Fractional positions:
Hf: 0.0000 0.0000 0.2493  12 Hf 3.10-3.29
Hf: 0.0000 0.0000 0.7507  12 Hf 3.10-3.29
Hf: 0.0000 0.5000 0.1108  2 Os 2.84, 2 Pt 2.84, 4 Hf 3.10-3.11
Hf: 0.0000 0.5000 0.3892  2 Os 2.84, 2 Pt 2.84, 4 Hf 3.10-3.11
Hf: 0.0000 0.5000 0.6108  2 Os 2.84, 2 Pt 2.84, 4 Hf 3.10-3.11
Hf: 0.0000 0.5000 0.8892  2 Os 2.84, 2 Pt 2.84, 4 Hf 3.10-3.11
Hf: 0.5000 0.0000 0.1108  2 Os 2.84, 2 Pt 2.84, 4 Hf 3.10-3.11
Hf: 0.5000 0.0000 0.3892  2 Os 2.84, 2 Pt 2.84, 4 Hf 3.10-3.11
Hf: 0.5000 0.0000 0.6108  2 Os 2.84, 2 Pt 2.84, 4 Hf 3.10-3.11
Hf: 0.5000 0.0000 0.8892  2 Os 2.84, 2 Pt 2.84, 4 Hf 3.10-3.11
Hf: 0.5000 0.5000 0.2507  12 Hf 3.10-3.29
Hf: 0.5000 0.5000 0.7493  12 Hf 3.10-3.29
Os: 0.0000 0.0000 0.0000  8 Hf 2.84
Os: 0.5000 0.5000 0.5000  8 Hf 2.84
Pt: 0.0000 0.0000 0.5000  8 Hf 2.84
Pt: 0.5000 0.5000 0.0000  8 Hf 2.84

Total magnetization, Bohr magnetons per cell: 0.0
Raw total energy, eV per atom: -10.032
Energy of formation, eV/atom: -0.41

---

Entry 3:
PuHfOsPt | PBE | relaxed

a b c (Å): 6.7377 6.7377 6.7377
angles (deg): 90.00 90.00 90.00
Closest atoms and distances in Å follow each position.
Fractional positions:
Pu: 0.0000 0.0000 0.0000  4 Pt 2.92, 4 Os 2.92
Pu: 0.0000 0.5000 0.5000  4 Pt 2.92, 4 Os 2.92
Pu: 0.5000 0.0000 0.5000  4 Pt 2.92, 4 Os 2.92
Pu: 0.5000 0.5000 0.0000  4 Pt 2.92, 4 Os 2.92
Hf: 0.0000 0.0000 0.5000  4 Os 2.92, 4 Pt 2.92
Hf: 0.0000 0.5000 0.0000  4 Os 2.92, 4 Pt 2.92
Hf: 0.5000 0.0000 0.0000  4 Os 2.92, 4 Pt 2.92
Hf: 0.5000 0.5000 0.5000  4 Os 2.92, 4 Pt 2.92
Os: 0.2500 0.2500 0.7500  4 Pu 2.92, 4 Hf 2.92
Os: 0.2500 0.7500 0.2500  4 Pu 2.92, 4 Hf 2.92
Os: 0.7500 0.2500 0.2500  4 Pu 2.92, 4 Hf 2.92
Os: 0.7500 0.7500 0.7500  4 Pu 2.92, 4 Hf 2.92
Pt: 0.2500 0.2500 0.2500  4 Hf 2.92, 4 Pu 2.92
Pt: 0.2500 0.7500 0.7500  4 Hf 2.92, 4 Pu 2.92
Pt: 0.7500 0.2500 0.7500  4 Hf 2.92, 4 Pu 2.92
Pt: 0.7500 0.7500 0.2500  4 Hf 2.92, 4 Pu 2.92

Total magnetization, Bohr magnetons per cell: 20.6
Raw total energy, eV per atom: -10.835
Energy of formation, eV/atom: -0.45

---

Entry 4:
HfTeOsPt2 | PBE | relaxed

a b c (Å): 4.8084 4.8084 5.0915
angles (deg): 90.00 90.00 90.00
Closest atoms and distances in Å follow each position.
Fractional positions:
Hf: 0.0000 0.0000 0.0000  4 Te 3.40, 8 Pt 3.50
Te: 0.5000 0.5000 0.0000  2 Os 2.55
Os: 0.5000 0.5000 0.5000  4 Pt 2.40, 2 Te 2.55
Pt: 0.0000 0.5000 0.5000  2 Os 2.40
Pt: 0.5000 0.0000 0.5000  2 Os 2.40

Total magnetization, Bohr magnetons per cell: 0.0
Raw total energy, eV per atom: -6.324
Formation energy from raw total energies, kcal/mol of atoms: 22.1

---

Entry 5:
HfTi2OsPt | PBE | relaxed

a b c (Å): 4.7126 4.7126 4.6908
angles (deg): 90.00 90.00 90.00
Closest atoms and distances in Å follow each position.
Fractional positions:
Hf: 0.0000 0.0000 0.0000  2 Pt 2.35, 4 Ti 2.36
Ti: 0.0000 0.5000 0.0000  2 Hf 2.36
Ti: 0.5000 0.0000 0.0000  2 Hf 2.36
Os: 0.5000 0.5000 0.5000  8 Ti 3.32, 4 Pt 3.33
Pt: 0.0000 0.0000 0.5000  2 Hf 2.35

Total magnetization, Bohr magnetons per cell: 0.3
Raw total energy, eV per atom: -7.016
Energy of formation, eV/atom: 1.59

---

Entry 6:
YHfOsPt | PBE | relaxed

a b c (Å): 6.7373 6.7373 6.7373
angles (deg): 90.00 90.00 90.00
Closest atoms and distances in Å follow each position.
Fractional positions:
Y: 0.0000 0.0000 0.0000  4 Os 2.92, 4 Pt 2.92
Y: 0.0000 0.5000 0.5000  4 Os 2.92, 4 Pt 2.92
Y: 0.5000 0.0000 0.5000  4 Os 2.92, 4 Pt 2.92
Y: 0.5000 0.5000 0.0000  4 Os 2.92, 4 Pt 2.92
Hf: 0.0000 0.0000 0.5000  4 Os 2.92, 4 Pt 2.92
Hf: 0.0000 0.5000 0.0000  4 Os 2.92, 4 Pt 2.92
Hf: 0.5000 0.0000 0.0000  4 Os 2.92, 4 Pt 2.92
Hf: 0.5000 0.5000 0.5000  4 Os 2.92, 4 Pt 2.92
Os: 0.2500 0.2500 0.2500  4 Hf 2.92, 4 Y 2.92
Os: 0.2500 0.7500 0.7500  4 Hf 2.92, 4 Y 2.92
Os: 0.7500 0.2500 0.7500  4 Hf 2.92, 4 Y 2.92
Os: 0.7500 0.7500 0.2500  4 Hf 2.92, 4 Y 2.92
Pt: 0.2500 0.2500 0.7500  4 Hf 2.92, 4 Y 2.92
Pt: 0.2500 0.7500 0.2500  4 Hf 2.92, 4 Y 2.92
Pt: 0.7500 0.2500 0.2500  4 Hf 2.92, 4 Y 2.92
Pt: 0.7500 0.7500 0.7500  4 Hf 2.92, 4 Y 2.92

Total magnetization, Bohr magnetons per cell: 0.0
Raw total energy, eV per atom: -9.089
Energy of formation, eV/atom: -0.67

---

Entry 7:
HfZrOs2Pt | PBE | relaxed

a b c (Å): 4.7848 4.7848 4.8184
angles (deg): 90.00 90.00 90.00
Closest atoms and distances in Å follow each position.
Fractional positions:
Hf: 0.0000 0.0000 0.0000  4 Pt 3.38, 8 Os 3.40
Zr: 0.5000 0.5000 0.5000  4 Os 2.39, 2 Pt 2.41
Os: 0.0000 0.5000 0.5000  2 Zr 2.39
Os: 0.5000 0.0000 0.5000  2 Zr 2.39
Pt: 0.5000 0.5000 0.0000  2 Zr 2.41

Total magnetization, Bohr magnetons per cell: 0.0
Raw total energy, eV per atom: -8.017
Energy of formation, eV/atom: 1.38

---

Entry 8:
PuHf2Os | PBE | relaxed

a b c (Å): 3.2208 3.2208 7.7967
angles (deg): 90.00 90.00 90.00
Closest atoms and distances in Å follow each position.
Fractional positions:
Pu: 0.0000 0.0000 0.0000  8 Hf 3.21, 4 Pu 3.22
Hf: 0.5000 0.5000 0.2898  4 Os 2.81
Hf: 0.5000 0.5000 0.7102  4 Os 2.81
Os: 0.0000 0.0000 0.5000  8 Hf 2.81

Total magnetization, Bohr magnetons per cell: 5.4
Raw total energy, eV per atom: -11.606
Energy of formation, eV/atom: -0.24

---

Entry 9:
PuHfOs2 | PBE | relaxed

a b c (Å): 3.2171 3.2171 7.0681
angles (deg): 90.00 90.00 90.00
Closest atoms and distances in Å follow each position.
Fractional positions:
Pu: 0.0000 0.0000 0.0000  8 Os 2.96, 4 Pu 3.22
Hf: 0.0000 0.0000 0.5000  8 Os 2.80
Os: 0.5000 0.5000 0.2688  4 Hf 2.80, 4 Pu 2.96
Os: 0.5000 0.5000 0.7312  4 Hf 2.80, 4 Pu 2.96

Total magnetization, Bohr magnetons per cell: 4.2
Raw total energy, eV per atom: -11.938
Energy of formation, eV/atom: -0.25

---

Entry 10:
PuHf2Os | PBE | relaxed

a b c (Å): 4.8839 4.8839 3.2425
angles (deg): 90.00 90.00 90.00
Closest atoms and distances in Å follow each position.
Fractional positions:
Pu: 0.0000 0.0000 0.0000  8 Hf 2.93, 2 Pu 3.24
Hf: 0.0000 0.5000 0.5000  4 Os 2.93, 4 Pu 2.93, 2 Hf 3.24
Hf: 0.5000 0.0000 0.5000  4 Os 2.93, 4 Pu 2.93, 2 Hf 3.24
Os: 0.5000 0.5000 0.0000  8 Hf 2.93, 2 Os 3.24

Total magnetization, Bohr magnetons per cell: 5.5
Raw total energy, eV per atom: -11.373
Energy of formation, eV/atom: -0.01

---

Entry 11:
PuHfOs4 | PBE | relaxed

a b c (Å): 5.2896 5.2896 5.2896
angles (deg): 60.00 60.00 60.00
Closest atoms and distances in Å follow each position.
Fractional positions:
Pu: 0.0000 0.0000 0.0000  12 Os 3.10, 4 Hf 3.24
Hf: 0.2500 0.2500 0.2500  12 Os 3.10, 4 Pu 3.24
Os: 0.1255 0.6248 0.6248  6 Os 2.64-2.65
Os: 0.6248 0.1255 0.6248  6 Os 2.64-2.65
Os: 0.6248 0.6248 0.1255  6 Os 2.64-2.65
Os: 0.6248 0.6248 0.6248  6 Os 2.64-2.65

Total magnetization, Bohr magnetons per cell: 4.3
Raw total energy, eV per atom: -11.706
Energy of formation, eV/atom: -0.17

---

Entry 12:
PuHf2Os | PBE | relaxed

a b c (Å): 6.7704 6.7704 6.7704
angles (deg): 90.00 90.00 90.00
Closest atoms and distances in Å follow each position.
Fractional positions:
Pu: 0.0000 0.0000 0.0000  8 Hf 2.93
Pu: 0.0000 0.5000 0.5000  8 Hf 2.93
Pu: 0.5000 0.0000 0.5000  8 Hf 2.93
Pu: 0.5000 0.5000 0.0000  8 Hf 2.93
Hf: 0.2500 0.2500 0.2500  4 Os 2.93, 4 Pu 2.93
Hf: 0.2500 0.2500 0.7500  4 Os 2.93, 4 Pu 2.93
Hf: 0.2500 0.7500 0.2500  4 Os 2.93, 4 Pu 2.93
Hf: 0.2500 0.7500 0.7500  4 Os 2.93, 4 Pu 2.93
Hf: 0.7500 0.2500 0.2500  4 Os 2.93, 4 Pu 2.93
Hf: 0.7500 0.2500 0.7500  4 Os 2.93, 4 Pu 2.93
Hf: 0.7500 0.7500 0.2500  4 Os 2.93, 4 Pu 2.93
Hf: 0.7500 0.7500 0.7500  4 Os 2.93, 4 Pu 2.93
Os: 0.0000 0.0000 0.5000  8 Hf 2.93
Os: 0.0000 0.5000 0.0000  8 Hf 2.93
Os: 0.5000 0.0000 0.0000  8 Hf 2.93
Os: 0.5000 0.5000 0.5000  8 Hf 2.93

Total magnetization, Bohr magnetons per cell: 20.1
Raw total energy, eV per atom: -11.352
Energy of formation, eV/atom: 0.02

---

Entry 13:
PuHfScOs | PBE | relaxed

a b c (Å): 6.7896 6.7896 6.7896
angles (deg): 90.00 90.00 90.00
Closest atoms and distances in Å follow each position.
Fractional positions:
Pu: 0.0000 0.0000 0.0000  4 Hf 2.94, 4 Sc 2.94
Pu: 0.0000 0.5000 0.5000  4 Hf 2.94, 4 Sc 2.94
Pu: 0.5000 0.0000 0.5000  4 Hf 2.94, 4 Sc 2.94
Pu: 0.5000 0.5000 0.0000  4 Hf 2.94, 4 Sc 2.94
Hf: 0.2500 0.2500 0.2500  4 Os 2.94, 4 Pu 2.94
Hf: 0.2500 0.7500 0.7500  4 Os 2.94, 4 Pu 2.94
Hf: 0.7500 0.2500 0.7500  4 Os 2.94, 4 Pu 2.94
Hf: 0.7500 0.7500 0.2500  4 Os 2.94, 4 Pu 2.94
Sc: 0.2500 0.2500 0.7500  4 Os 2.94, 4 Pu 2.94
Sc: 0.2500 0.7500 0.2500  4 Os 2.94, 4 Pu 2.94
Sc: 0.7500 0.2500 0.2500  4 Os 2.94, 4 Pu 2.94
Sc: 0.7500 0.7500 0.7500  4 Pu 2.94, 4 Os 2.94
Os: 0.0000 0.0000 0.5000  4 Hf 2.94, 4 Sc 2.94
Os: 0.0000 0.5000 0.0000  4 Hf 2.94, 4 Sc 2.94
Os: 0.5000 0.0000 0.0000  4 Hf 2.94, 4 Sc 2.94
Os: 0.5000 0.5000 0.5000  4 Hf 2.94, 4 Sc 2.94

Total magnetization, Bohr magnetons per cell: 22.3
Raw total energy, eV per atom: -10.432
Energy of formation, eV/atom: 0.03

---

Entry 14:
PuHfTaOs | PBE | relaxed

a b c (Å): 6.6645 6.6645 6.6645
angles (deg): 90.00 90.00 90.00
Closest atoms and distances in Å follow each position.
Fractional positions:
Pu: 0.0000 0.0000 0.0000  4 Hf 2.89, 4 Ta 2.89
Pu: 0.0000 0.5000 0.5000  4 Hf 2.89, 4 Ta 2.89
Pu: 0.5000 0.0000 0.5000  4 Hf 2.89, 4 Ta 2.89
Pu: 0.5000 0.5000 0.0000  4 Hf 2.89, 4 Ta 2.89
Hf: 0.2500 0.2500 0.7500  4 Os 2.89, 4 Pu 2.89
Hf: 0.2500 0.7500 0.2500  4 Os 2.89, 4 Pu 2.89
Hf: 0.7500 0.2500 0.2500  4 Os 2.89, 4 Pu 2.89
Hf: 0.7500 0.7500 0.7500  4 Pu 2.89, 4 Os 2.89
Ta: 0.2500 0.2500 0.2500  4 Os 2.89, 4 Pu 2.89
Ta: 0.2500 0.7500 0.7500  4 Os 2.89, 4 Pu 2.89
Ta: 0.7500 0.2500 0.7500  4 Os 2.89, 4 Pu 2.89
Ta: 0.7500 0.7500 0.2500  4 Os 2.89, 4 Pu 2.89
Os: 0.0000 0.0000 0.5000  4 Ta 2.89, 4 Hf 2.89
Os: 0.0000 0.5000 0.0000  4 Ta 2.89, 4 Hf 2.89
Os: 0.5000 0.0000 0.0000  4 Ta 2.89, 4 Hf 2.89
Os: 0.5000 0.5000 0.5000  4 Ta 2.89, 4 Hf 2.89

Total magnetization, Bohr magnetons per cell: 18.8
Raw total energy, eV per atom: -11.765
Energy of formation, eV/atom: 0.08